The following is a DFT calculation (PBE) of an optimized crystal structure of Y2TlIn2.

a = 5.038 Å, b = 5.038 Å, c = 12.883 Å
α = 90.00°, β = 90.00°, γ = 90.00°
Fractional coordinates of all 10 atoms:
1 Y 0.000 0.500 0.250
2 Y 0.000 0.500 0.750
3 Y 0.500 0.000 0.250
4 Y 0.500 0.000 0.750
5 Tl 0.000 0.000 0.000
6 Tl 0.500 0.500 0.500
7 In 0.000 0.000 0.396
8 In 0.000 0.000 0.604
9 In 0.500 0.500 0.104
10 In 0.500 0.500 0.896

Summary:
Relative energy among the computed polymorphs in meV per atom: 409
Crystal system: tetragonal
Size of the total moment in μB per formula unit: 0.409
VASP energy in eV for the cell shown: -41.15

***

The following is a DFT calculation (PBE) of an optimized crystal structure of NaSn2TeSe6.

a = 9.202 Å, b = 9.202 Å, c = 7.808 Å
α = 105.16°, β = 105.16°, γ = 77.50°
Fractional coordinates of all 20 atoms:
1 Na 0.134 0.866 0.750
2 Na 0.866 0.134 0.250
3 Sn 0.214 0.387 0.773
4 Sn 0.387 0.214 0.273
5 Sn 0.613 0.786 0.727
6 Sn 0.786 0.613 0.227
7 Te 0.241 0.759 0.250
8 Te 0.759 0.241 0.750
9 Se 0.025 0.183 0.644
10 Se 0.064 0.646 0.906
11 Se 0.183 0.025 0.144
12 Se 0.297 0.456 0.508
13 Se 0.354 0.936 0.594
14 Se 0.456 0.297 0.008
15 Se 0.544 0.703 0.992
16 Se 0.646 0.064 0.406
17 Se 0.703 0.544 0.492
18 Se 0.817 0.975 0.856
19 Se 0.936 0.354 0.094
20 Se 0.975 0.817 0.356

Summary:
Formation energy (no corrections) in eV per atom: -0.292
Crystal system: monoclinic
Size of the total moment in μB per formula unit: 0.000
VASP energy in eV for the cell shown: -72.58